Entry 1:
K2NaCl: optimized geometry, PBE.

Total energy   -8.00 eV/cell
D(E_F)   0.0 states/eV/f.u.
Relative energy among the computed polymorphs   244.4 meV per atom
E_form (uncorrected)   -0.6607 eV/atom
Total moment   0.0 Bohr magnetons per cell

```
K2NaCl
1.0
-3.530 4.107 2.964
-2.525 4.705 -3.098
-6.091 0.125 -0.998
K Cl Na
2 1 1
Direct
0.250 0.250 0.250
0.750 0.750 0.750
0.500 0.500 0.500
0.000 0.000 0.000
```



Entry 2:
La3AgPt: optimized geometry, PBE.

Total energy   -25.08 eV/cell
Energy of formation   -282 meV/atom
D(E_F)   10.4 states/eV/f.u.
Relative energy among the computed polymorphs   278.6 meV per atom
Total moment   0.0 Bohr magnetons per cell

```
La3AgPt
1.0
5.686 0.000 0.000
0.000 5.686 0.000
0.000 0.000 5.686
La Pt Ag
3 1 1
Direct
0.500 0.000 0.000
0.000 0.500 0.000
0.000 0.000 0.500
0.000 0.000 0.000
0.500 0.500 0.500
```



Entry 3:
RuPbBr2: optimized geometry, PBE.

Total energy   -15.33 eV/cell
D(E_F)   3.4 states/eV/f.u.
Relative energy among the computed polymorphs   267.8 meV per atom
E_form (uncorrected)   0.2511 eV/atom
Total moment   1.5 Bohr magnetons per cell

```
RuPbBr2
1.0
7.136 0.048 -0.010
4.832 5.252 0.010
-5.622 -3.468 2.701
Br Ru Pb
2 1 1
Direct
0.764 0.264 0.500
0.072 0.072 0.000
0.240 0.740 0.500
0.424 0.424 0.000
```